No. 1
Entry from Alexandria via LeMat-Bulk: a relaxed structure of Pu2In3Pd7 (GGA-PBE).

Computed properties:
The formation energy from the elements comes out at -0.34 eV per atom.

The structure in CIF format:
```
data_Pu2In3Pd7
_chemical_formula_sum 'Pu2 In3 Pd7'
_cell_length_a 4.0111
_cell_length_b 3.8275
_cell_length_c 16.1223
_cell_angle_alpha 90.00
_cell_angle_beta 97.07
_cell_angle_gamma 90.00
_symmetry_space_group_name_H-M 'P 1 2/m 1'
_symmetry_Int_Tables_number 10
_symmetry_space_group_name_Hall '-P 2y'
loop_
_atom_site_label
_atom_site_type_symbol
_atom_site_fract_x
_atom_site_fract_y
_atom_site_fract_z
Pu1 Pu 0.1315 0.0000 0.2647
In1 In 0.0000 0.0000 0.0000
In2 In 0.2965 0.5000 0.5926
Pd1 Pd 0.0657 0.5000 0.1326
Pd2 Pd 0.2209 0.0000 0.4416
Pd3 Pd 0.4326 0.0000 0.8641
Pd4 Pd 0.5000 0.5000 0.0000
```

No. 2
Entry from Alexandria via LeMat-Bulk: a relaxed structure of PuIn2Pd (GGA-PBE).

Computed properties:
The formation energy from the elements comes out at -0.39 eV per atom. The value obtained for the energy above the most stable polymorph in this dataset is 0 meV per atom.

The structure in CIF format:
```
data_PuIn2Pd
_chemical_formula_sum 'Pu4 In8 Pd4'
_cell_length_a 4.5516
_cell_length_b 10.3852
_cell_length_c 7.7820
_cell_angle_alpha 90.00
_cell_angle_beta 90.00
_cell_angle_gamma 90.00
_symmetry_space_group_name_H-M 'C m c m'
_symmetry_Int_Tables_number 63
_symmetry_space_group_name_Hall '-C 2c 2'
loop_
_atom_site_label
_atom_site_type_symbol
_atom_site_fract_x
_atom_site_fract_y
_atom_site_fract_z
Pu1 Pu 0.0000 0.0685 0.2500
In1 In 0.0000 0.3594 0.0515
Pd1 Pd 0.0000 0.2147 0.7500
```

No. 3
Entry from Alexandria via LeMat-Bulk: a relaxed structure of Pu2In3Pd4 (GGA-PBE).

Computed properties:
The formation energy from the elements comes out at -0.41 eV per atom. The value obtained for the energy above the most stable polymorph in this dataset is 65 meV per atom.

The structure in CIF format:
```
data_Pu2In3Pd4
_chemical_formula_sum 'Pu2 In3 Pd4'
_cell_length_a 4.8156
_cell_length_b 4.8242
_cell_length_c 9.2638
_cell_angle_alpha 89.50
_cell_angle_beta 89.70
_cell_angle_gamma 60.19
_symmetry_space_group_name_H-M 'P -1'
_symmetry_Int_Tables_number 2
_symmetry_space_group_name_Hall '-P 1'
loop_
_atom_site_label
_atom_site_type_symbol
_atom_site_fract_x
_atom_site_fract_y
_atom_site_fract_z
Pu1 Pu 0.1665 0.1632 0.2215
In1 In 0.1671 0.1712 0.5865
In2 In 0.5000 0.5000 0.0000
Pd1 Pd 0.1666 0.1689 0.9063
Pd2 Pd 0.4996 0.4941 0.3532
```

No. 4
Entry from Alexandria via LeMat-Bulk: a relaxed structure of Pu5InPd5 (GGA-PBE).

Computed properties:
The formation energy from the elements comes out at -0.25 eV per atom.

The structure in CIF format:
```
data_Pu5InPd5
_chemical_formula_sum 'Pu10 In2 Pd10'
_cell_length_a 14.9936
_cell_length_b 4.9847
_cell_length_c 6.9548
_cell_angle_alpha 90.00
_cell_angle_beta 92.46
_cell_angle_gamma 90.00
_symmetry_space_group_name_H-M 'C 1 2/m 1'
_symmetry_Int_Tables_number 12
_symmetry_space_group_name_Hall '-C 2y'
loop_
_atom_site_label
_atom_site_type_symbol
_atom_site_fract_x
_atom_site_fract_y
_atom_site_fract_z
Pu1 Pu 0.0000 0.0000 0.0000
Pu2 Pu 0.1441 0.5000 0.2369
Pu3 Pu 0.1533 0.5000 0.7446
In1 In 0.0000 0.0000 0.5000
Pd1 Pd 0.0000 0.5000 0.5000
Pd2 Pd 0.1907 0.0000 0.9846
Pd3 Pd 0.1947 0.0000 0.5023
```

No. 5
Entry from Alexandria via LeMat-Bulk: a relaxed structure of PuInPdRh (GGA-PBE).

Computed properties:
The formation energy from the elements comes out at -0.46 eV per atom.

The structure in CIF format:
```
data_PuInPdRh
_chemical_formula_sum 'Pu4 In4 Pd4 Rh4'
_cell_length_a 6.7790
_cell_length_b 6.7790
_cell_length_c 6.7790
_cell_angle_alpha 90.00
_cell_angle_beta 90.00
_cell_angle_gamma 90.00
_symmetry_space_group_name_H-M 'F -4 3 m'
_symmetry_Int_Tables_number 216
_symmetry_space_group_name_Hall 'F -4 2 3'
loop_
_atom_site_label
_atom_site_type_symbol
_atom_site_fract_x
_atom_site_fract_y
_atom_site_fract_z
Pu1 Pu 0.0000 0.0000 0.0000
In1 In 0.0000 0.0000 0.5000
Pd1 Pd 0.2500 0.2500 0.2500
Rh1 Rh 0.2500 0.2500 0.7500
```

No. 6
Entry from Alexandria via LeMat-Bulk: a relaxed structure of Pu3In3PdRu2 (GGA-PBE).

Computed properties:
The formation energy from the elements comes out at -0.30 eV per atom.

The structure in CIF format:
```
data_Pu3In3PdRu2
_chemical_formula_sum 'Pu3 In3 Pd1 Ru2'
_cell_length_a 7.5583
_cell_length_b 7.5583
_cell_length_c 3.9085
_cell_angle_alpha 90.00
_cell_angle_beta 90.00
_cell_angle_gamma 120.00
_symmetry_space_group_name_H-M 'P -6 2 m'
_symmetry_Int_Tables_number 189
_symmetry_space_group_name_Hall 'P -6 -2'
loop_
_atom_site_label
_atom_site_type_symbol
_atom_site_fract_x
_atom_site_fract_y
_atom_site_fract_z
Pu1 Pu 0.0000 0.4178 0.0000
In1 In 0.0000 0.7449 0.5000
Pd1 Pd 0.0000 0.0000 0.0000
Ru1 Ru 0.3333 0.6667 0.5000
```

No. 7
Entry from Alexandria via LeMat-Bulk: a relaxed structure of PuInSi2Pd5 (GGA-PBE).

Computed properties:
For the uncorrected formation energy, the calculation gives -421.5 meV/atom.

The structure in CIF format:
```
data_PuInSi2Pd5
_chemical_formula_sum 'Pu1 In1 Si2 Pd5'
_cell_length_a 4.0602
_cell_length_b 4.0602
_cell_length_c 10.9725
_cell_angle_alpha 90.00
_cell_angle_beta 90.00
_cell_angle_gamma 90.00
_symmetry_space_group_name_H-M 'P 4/m m m'
_symmetry_Int_Tables_number 123
_symmetry_space_group_name_Hall '-P 4 2'
loop_
_atom_site_label
_atom_site_type_symbol
_atom_site_fract_x
_atom_site_fract_y
_atom_site_fract_z
Pu1 Pu 0.0000 0.0000 0.0000
In1 In 0.0000 0.0000 0.5000
Si1 Si 0.5000 0.5000 0.2138
Pd1 Pd 0.0000 0.5000 0.3257
Pd2 Pd 0.5000 0.5000 0.0000
```

No. 8
Entry from Alexandria via LeMat-Bulk: a relaxed structure of Pu2InSi3Pd4 (GGA-PBE).

Computed properties:
For the uncorrected formation energy, the calculation gives -590.6 meV/atom.

The structure in CIF format:
```
data_Pu2InSi3Pd4
_chemical_formula_sum 'Pu2 In1 Si3 Pd4'
_cell_length_a 4.1520
_cell_length_b 4.1520
_cell_length_c 10.8349
_cell_angle_alpha 90.00
_cell_angle_beta 90.00
_cell_angle_gamma 90.00
_symmetry_space_group_name_H-M 'P -4 m 2'
_symmetry_Int_Tables_number 115
_symmetry_space_group_name_Hall 'P -4 -2'
loop_
_atom_site_label
_atom_site_type_symbol
_atom_site_fract_x
_atom_site_fract_y
_atom_site_fract_z
Pu1 Pu 0.0000 0.5000 0.2393
In1 In 0.0000 0.0000 0.5000
Si1 Si 0.0000 0.5000 0.8733
Si2 Si 0.5000 0.5000 0.5000
Pd1 Pd 0.0000 0.0000 0.0000
Pd2 Pd 0.0000 0.5000 0.6530
Pd3 Pd 0.5000 0.5000 0.0000
```